# 1
Computed, not measured: an optimized crystal structure of BeCuW2 at the GGA-PBEsol level of DFT.

a = 2.7023 Å, b = 4.0067 Å, c = 4.8889 Å
α = 90.00°, β = 100.15°, γ = 90.00°
Fractional positions:
1 Be 0.0000 0.0000 0.0000
2 Cu 0.0704 0.5000 0.2484
3 W 0.4233 0.5000 0.7858
4 W 0.6539 0.0000 0.4868

- D(E_F): 2.2 states/eV/cell
- SG: Pm, No. 6

---

# 2
Computed, not measured: an optimized crystal structure of BeCuW2 at the GGA-PBEsol level of DFT.

a = 4.1628 Å, b = 4.1628 Å, c = 4.1628 Å
α = 60.00°, β = 60.00°, γ = 60.00°
Fractional positions:
1 Be 0.0000 0.0000 0.0000
2 Cu 0.5000 0.5000 0.5000
3 W 0.2500 0.2500 0.2500
4 W 0.7500 0.7500 0.7500

- D(E_F): 1.9 states/eV/cell
- SG: Fm-3m, No. 225

---

# 3
Computed, not measured: an optimized crystal structure of BeCuW at the GGA-PBEsol level of DFT.

a = 2.6417 Å, b = 2.6417 Å, c = 6.1770 Å
α = 90.00°, β = 90.00°, γ = 120.00°
Fractional positions:
1 Be 0.0000 0.0000 0.0000
2 Cu 0.6667 0.3333 0.7048
3 W 0.3333 0.6667 0.3388

- D(E_F): 1.3 states/eV/cell
- SG: P3m1, No. 156

---

# 4
Computed, not measured: an optimized crystal structure of BeCuW2 at the GGA-PBEsol level of DFT.

a = 4.7501 Å, b = 4.7501 Å, c = 4.7501 Å
α = 135.29°, β = 135.29°, γ = 65.07°
Fractional positions:
1 Be 0.0000 0.0000 0.0000
2 Cu 0.7500 0.2500 0.5000
3 W 0.2500 0.7500 0.5000
4 W 0.5000 0.5000 0.0000

- D(E_F): 2.2 states/eV/cell
- SG: I-4m2, No. 119

---

# 5
Computed, not measured: an optimized crystal structure of BeCuW2 at the GGA-PBEsol level of DFT.

a = 2.6579 Å, b = 2.6579 Å, c = 7.2161 Å
α = 90.00°, β = 90.00°, γ = 90.00°
Fractional positions:
1 Be 0.0000 0.0000 0.0000
2 Cu 0.0000 0.0000 0.5000
3 W 0.5000 0.5000 0.2280
4 W 0.5000 0.5000 0.7720

- D(E_F): 1.9 states/eV/cell
- SG: P4/mmm, No. 123

---

# 6
Computed, not measured: an optimized crystal structure of Y2BeCu at the GGA-PBEsol level of DFT.

a = 4.7046 Å, b = 4.7046 Å, c = 4.7046 Å
α = 60.00°, β = 60.00°, γ = 60.00°
Fractional positions:
1 Y 0.0000 0.0000 0.0000
2 Y 0.2500 0.2500 0.2500
3 Be 0.5000 0.5000 0.5000
4 Cu 0.7500 0.7500 0.7500

- D(E_F): 4.3 states/eV/cell
- SG: F-43m, No. 216

---

# 7
Computed, not measured: an optimized crystal structure of YBe3Cu at the GGA-PBEsol level of DFT.

a = 4.8589 Å, b = 4.8589 Å, c = 4.8589 Å
α = 90.00°, β = 90.00°, γ = 90.00°
Fractional positions:
1 Y 0.0000 0.0000 0.0000
2 Be 0.0000 0.0000 0.5000
3 Be 0.0000 0.5000 0.0000
4 Be 0.5000 0.0000 0.0000
5 Cu 0.5000 0.5000 0.5000

- D(E_F): 4.3 states/eV/cell
- SG: Pm-3m, No. 221

---

# 8
Computed, not measured: an optimized crystal structure of YBeCu4 at the GGA-PBEsol level of DFT.

a = 4.9988 Å, b = 4.9988 Å, c = 3.7982 Å
α = 90.00°, β = 90.00°, γ = 120.00°
Fractional positions:
1 Y 0.0000 0.0000 0.0000
2 Be 0.6667 0.3333 0.0000
3 Cu 0.3333 0.6667 0.0000
4 Cu 0.5042 0.0085 0.5000
5 Cu 0.5042 0.4958 0.5000
6 Cu 0.9915 0.4958 0.5000

- D(E_F): 3.6 states/eV/cell
- SG: P-6m2, No. 187

---

Number 1: VASP energy -0.6465 Ry per atom. Number 2: VASP energy -0.6258 Ry per atom. Number 3: VASP energy -0.5178 Ry per atom. Number 4: VASP energy -0.6360 Ry per atom. Number 5: VASP energy -0.6421 Ry per atom. Number 6: VASP energy -0.3781 Ry per atom. Number 7: VASP energy -0.1739 Ry per atom. Number 8: VASP energy -0.3570 Ry per atom.